# PBE TaMn2Cl, relaxed
# space group: Pmmm, No. 47
# total magnetization: 4.354 Bohr magnetons per cell
# polymorph energy (0 for the lowest one): 0.034 eV/atom
data_TaMn2Cl
_cell_length_a 3.098
_cell_length_b 3.238
_cell_length_c 6.796
_cell_angle_alpha 90.00
_cell_angle_beta 90.00
_cell_angle_gamma 90.00
_space_group_name_H-M_alt 'P 1'
_space_group_IT_number 1
loop_
_space_group_symop_operation_xyz
'x,y,z'
loop_
_atom_site_label
_atom_site_type_symbol
_atom_site_fract_x
_atom_site_fract_y
_atom_site_fract_z
Ta1 Ta 0.000 0.000 0.000
Mn1 Mn 0.500 0.500 0.204
Mn2 Mn 0.500 0.500 0.796
Cl1 Cl 0.000 0.500 0.500

***

# PBE ScReP2S, relaxed
# space group: P4/mmm, No. 123
# total magnetization: 3.264 Bohr magnetons per cell
# polymorph energy (0 for the lowest one): 0.996 eV/atom
data_ScReP2S
_cell_length_a 4.924
_cell_length_b 4.924
_cell_length_c 4.717
_cell_angle_alpha 90.00
_cell_angle_beta 90.00
_cell_angle_gamma 90.00
_space_group_name_H-M_alt 'P 1'
_space_group_IT_number 1
loop_
_space_group_symop_operation_xyz
'x,y,z'
loop_
_atom_site_label
_atom_site_type_symbol
_atom_site_fract_x
_atom_site_fract_y
_atom_site_fract_z
Sc1 Sc 0.000 0.000 0.000
Re1 Re 0.500 0.500 0.500
P1 P 0.000 0.500 0.000
P2 P 0.500 0.000 0.000
S1 S 0.000 0.000 0.500

***

# PBE BaRhW2, relaxed
# space group: P4mm, No. 99
# total magnetization: 0.000 Bohr magnetons per cell
# polymorph energy (0 for the lowest one): 0.000 eV/atom
# formation energy: 586 meV per atom
data_BaRhW2
_cell_length_a 3.261
_cell_length_b 3.261
_cell_length_c 8.029
_cell_angle_alpha 90.00
_cell_angle_beta 90.00
_cell_angle_gamma 90.00
_space_group_name_H-M_alt 'P 1'
_space_group_IT_number 1
loop_
_space_group_symop_operation_xyz
'x,y,z'
loop_
_atom_site_label
_atom_site_type_symbol
_atom_site_fract_x
_atom_site_fract_y
_atom_site_fract_z
Ba1 Ba 0.000 0.000 0.000
Rh1 Rh 0.500 0.500 0.314
W1 W 0.000 0.000 0.499
W2 W 0.500 0.500 0.666

***

# PBE Rb2CaSnF6, relaxed
# space group: Fm-3m, No. 225
# total magnetization: 0.000 Bohr magnetons per cell
# polymorph energy (0 for the lowest one): 0.000 eV/atom
data_Rb2CaSnF6
_cell_length_a 6.555
_cell_length_b 6.555
_cell_length_c 6.555
_cell_angle_alpha 60.00
_cell_angle_beta 60.00
_cell_angle_gamma 60.00
_space_group_name_H-M_alt 'P 1'
_space_group_IT_number 1
loop_
_space_group_symop_operation_xyz
'x,y,z'
loop_
_atom_site_label
_atom_site_type_symbol
_atom_site_fract_x
_atom_site_fract_y
_atom_site_fract_z
Rb1 Rb 0.250 0.250 0.250
Rb2 Rb 0.750 0.750 0.750
Ca1 Ca 0.000 0.000 0.000
Sn1 Sn 0.500 0.500 0.500
F1 F 0.243 0.243 0.757
F2 F 0.243 0.757 0.243
F3 F 0.243 0.757 0.757
F4 F 0.757 0.243 0.243
F5 F 0.757 0.243 0.757
F6 F 0.757 0.757 0.243

***

# PBE KLiCd, relaxed
# space group: P4/nmm, No. 129
# total magnetization: 0.000 Bohr magnetons per cell
# polymorph energy (0 for the lowest one): 0.000 eV/atom
# formation energy: -36 meV per atom
data_KLiCd
_cell_length_a 4.799
_cell_length_b 4.799
_cell_length_c 8.766
_cell_angle_alpha 90.00
_cell_angle_beta 90.00
_cell_angle_gamma 90.00
_space_group_name_H-M_alt 'P 1'
_space_group_IT_number 1
loop_
_space_group_symop_operation_xyz
'x,y,z'
loop_
_atom_site_label
_atom_site_type_symbol
_atom_site_fract_x
_atom_site_fract_y
_atom_site_fract_z
K1 K 0.250 0.250 0.151
K2 K 0.750 0.750 0.849
Li1 Li 0.250 0.750 0.500
Li2 Li 0.750 0.250 0.500
Cd1 Cd 0.250 0.250 0.692
Cd2 Cd 0.750 0.750 0.308

***

# PBE Sr2Be2B, relaxed
# space group: P4/mbm, No. 127
# total magnetization: 0.000 Bohr magnetons per cell
# polymorph energy (0 for the lowest one): 0.251 eV/atom
# formation energy: 851 meV per atom
data_Sr2Be2B
_cell_length_a 6.254
_cell_length_b 6.254
_cell_length_c 4.793
_cell_angle_alpha 90.00
_cell_angle_beta 90.00
_cell_angle_gamma 90.00
_space_group_name_H-M_alt 'P 1'
_space_group_IT_number 1
loop_
_space_group_symop_operation_xyz
'x,y,z'
loop_
_atom_site_label
_atom_site_type_symbol
_atom_site_fract_x
_atom_site_fract_y
_atom_site_fract_z
Sr1 Sr 0.197 0.303 0.000
Sr2 Sr 0.303 0.803 0.000
Sr3 Sr 0.697 0.197 0.000
Sr4 Sr 0.803 0.697 0.000
Be1 Be 0.126 0.626 0.500
Be2 Be 0.374 0.126 0.500
Be3 Be 0.626 0.874 0.500
Be4 Be 0.874 0.374 0.500
B1 B 0.000 0.000 0.500
B2 B 0.500 0.500 0.500

***

# PBE BaSrSi2, relaxed
# space group: C2/m, No. 12
# total magnetization: 0.002 Bohr magnetons per cell
# polymorph energy (0 for the lowest one): 0.147 eV/atom
data_BaSrSi2
_cell_length_a 5.931
_cell_length_b 5.931
_cell_length_c 7.686
_cell_angle_alpha 124.50
_cell_angle_beta 124.50
_cell_angle_gamma 41.07
_space_group_name_H-M_alt 'P 1'
_space_group_IT_number 1
loop_
_space_group_symop_operation_xyz
'x,y,z'
loop_
_atom_site_label
_atom_site_type_symbol
_atom_site_fract_x
_atom_site_fract_y
_atom_site_fract_z
Ba1 Ba 0.000 0.000 0.000
Sr1 Sr 0.500 0.500 0.500
Si1 Si 0.256 0.256 0.593
Si2 Si 0.744 0.744 0.407

***

# PBE SrNiMo3, relaxed
# space group: Pm-3m, No. 221
# total magnetization: 0.036 Bohr magnetons per cell
# polymorph energy (0 for the lowest one): 1.881 eV/atom
# formation energy: 3227 meV per atom
data_SrNiMo3
_cell_length_a 4.688
_cell_length_b 4.688
_cell_length_c 4.688
_cell_angle_alpha 90.00
_cell_angle_beta 90.00
_cell_angle_gamma 90.00
_space_group_name_H-M_alt 'P 1'
_space_group_IT_number 1
loop_
_space_group_symop_operation_xyz
'x,y,z'
loop_
_atom_site_label
_atom_site_type_symbol
_atom_site_fract_x
_atom_site_fract_y
_atom_site_fract_z
Sr1 Sr 0.000 0.000 0.000
Ni1 Ni 0.500 0.500 0.500
Mo1 Mo 0.000 0.000 0.500
Mo2 Mo 0.000 0.500 0.000
Mo3 Mo 0.500 0.000 0.000

***

# PBE ThSi2Sb2Pt7, relaxed
# space group: C2/m, No. 12
# uncorrected energy: -77.06 eV per formula unit
# total magnetization: 0.000 Bohr magnetons per cell
data_ThSi2Sb2Pt7
_cell_length_a 4.004
_cell_length_b 4.004
_cell_length_c 15.446
_cell_angle_alpha 97.43
_cell_angle_beta 97.43
_cell_angle_gamma 89.99
_space_group_name_H-M_alt 'P 1'
_space_group_IT_number 1
loop_
_space_group_symop_operation_xyz
'x,y,z'
loop_
_atom_site_label
_atom_site_type_symbol
_atom_site_fract_x
_atom_site_fract_y
_atom_site_fract_z
Th1 Th 0.000 0.000 0.000
Si1 Si 0.378 0.378 0.757
Si2 Si 0.622 0.622 0.243
Sb1 Sb 0.211 0.211 0.423
Sb2 Sb 0.789 0.789 0.577
Pt1 Pt 0.076 0.576 0.152
Pt2 Pt 0.300 0.300 0.603
Pt3 Pt 0.424 0.924 0.848
Pt4 Pt 0.500 0.500 0.000
Pt5 Pt 0.576 0.076 0.152
Pt6 Pt 0.700 0.700 0.397
Pt7 Pt 0.924 0.424 0.848

***

# PBE Ce2CoGe3, relaxed
# space group: Pmm2, No. 25
# total magnetization: 0.747 Bohr magnetons per cell
# polymorph energy (0 for the lowest one): 0.012 eV/atom
# formation energy: -645 meV per atom
data_Ce2CoGe3
_cell_length_a 4.029
_cell_length_b 4.261
_cell_length_c 7.156
_cell_angle_alpha 90.00
_cell_angle_beta 90.00
_cell_angle_gamma 90.00
_space_group_name_H-M_alt 'P 1'
_space_group_IT_number 1
loop_
_space_group_symop_operation_xyz
'x,y,z'
loop_
_atom_site_label
_atom_site_type_symbol
_atom_site_fract_x
_atom_site_fract_y
_atom_site_fract_z
Ce1 Ce 0.000 0.000 0.000
Ce2 Ce 0.000 0.500 0.478
Co1 Co 0.500 0.000 0.303
Ge1 Ge 0.500 0.000 0.631
Ge2 Ge 0.500 0.500 0.166
Ge3 Ge 0.500 0.500 0.817

***

# PBE Rb2BaTl12Cd3, relaxed
# space group: R-3m, No. 166
# total magnetization: 0.000 Bohr magnetons per cell
# formation energy: 44 meV per atom
data_Rb2BaTl12Cd3
_cell_length_a 13.142
_cell_length_b 13.142
_cell_length_c 13.142
_cell_angle_alpha 34.98
_cell_angle_beta 34.98
_cell_angle_gamma 34.98
_space_group_name_H-M_alt 'P 1'
_space_group_IT_number 1
loop_
_space_group_symop_operation_xyz
'x,y,z'
loop_
_atom_site_label
_atom_site_type_symbol
_atom_site_fract_x
_atom_site_fract_y
_atom_site_fract_z
Rb1 Rb 0.136 0.136 0.136
Rb2 Rb 0.864 0.864 0.864
Ba1 Ba 0.500 0.500 0.500
Tl1 Tl 0.058 0.622 0.622
Tl2 Tl 0.091 0.091 0.687
Tl3 Tl 0.091 0.687 0.091
Tl4 Tl 0.313 0.909 0.909
Tl5 Tl 0.378 0.378 0.942
Tl6 Tl 0.378 0.942 0.378
Tl7 Tl 0.622 0.058 0.622
Tl8 Tl 0.622 0.622 0.058
Tl9 Tl 0.687 0.091 0.091
Tl10 Tl 0.909 0.313 0.909
Tl11 Tl 0.909 0.909 0.313
Tl12 Tl 0.942 0.378 0.378
Cd1 Cd 0.000 0.500 0.500
Cd2 Cd 0.500 0.000 0.500
Cd3 Cd 0.500 0.500 0.000

***

# PBE TcPt2Rh3, relaxed
# space group: P6_3/mmc, No. 194
# total magnetization: 0.006 Bohr magnetons per cell
# polymorph energy (0 for the lowest one): 0.200 eV/atom
# formation energy: 93 meV per atom
data_TcPt2Rh3
_cell_length_a 8.788
_cell_length_b 8.788
_cell_length_c 5.433
_cell_angle_alpha 90.00
_cell_angle_beta 90.00
_cell_angle_gamma 120.00
_space_group_name_H-M_alt 'P 1'
_space_group_IT_number 1
loop_
_space_group_symop_operation_xyz
'x,y,z'
loop_
_atom_site_label
_atom_site_type_symbol
_atom_site_fract_x
_atom_site_fract_y
_atom_site_fract_z
Tc1 Tc 0.333 0.667 0.039
Tc2 Tc 0.333 0.667 0.461
Tc3 Tc 0.667 0.333 0.539
Tc4 Tc 0.667 0.333 0.961
Pt1 Pt 0.000 0.000 0.250
Pt2 Pt 0.000 0.000 0.750
Pt3 Pt 0.025 0.512 0.750
Pt4 Pt 0.488 0.512 0.750
Pt5 Pt 0.488 0.975 0.750
Pt6 Pt 0.512 0.025 0.250
Pt7 Pt 0.512 0.488 0.250
Pt8 Pt 0.975 0.488 0.250
Rh1 Rh 0.168 0.337 0.005
Rh2 Rh 0.168 0.337 0.495
Rh3 Rh 0.168 0.832 0.005
Rh4 Rh 0.168 0.832 0.495
Rh5 Rh 0.337 0.168 0.505
Rh6 Rh 0.337 0.168 0.995
Rh7 Rh 0.663 0.832 0.005
Rh8 Rh 0.663 0.832 0.495
Rh9 Rh 0.832 0.168 0.505
Rh10 Rh 0.832 0.168 0.995
Rh11 Rh 0.832 0.663 0.505
Rh12 Rh 0.832 0.663 0.995

***

# PBE Rb2TlCdBr4, relaxed
# space group: Fddd, No. 70
# uncorrected energy: -20.12 eV per formula unit
# total magnetization: 0.000 Bohr magnetons per cell
data_Rb2TlCdBr4
_cell_length_a 16.657
_cell_length_b 14.626
_cell_length_c 8.981
_cell_angle_alpha 86.26
_cell_angle_beta 61.19
_cell_angle_gamma 32.55
_space_group_name_H-M_alt 'P 1'
_space_group_IT_number 1
loop_
_space_group_symop_operation_xyz
'x,y,z'
loop_
_atom_site_label
_atom_site_type_symbol
_atom_site_fract_x
_atom_site_fract_y
_atom_site_fract_z
Rb1 Rb 0.065 0.065 0.685
Rb2 Rb 0.315 0.315 0.935
Rb3 Rb 0.685 0.685 0.065
Rb4 Rb 0.935 0.935 0.315
Tl1 Tl 0.125 0.125 0.125
Tl2 Tl 0.875 0.875 0.875
Cd1 Cd 0.375 0.375 0.375
Cd2 Cd 0.625 0.625 0.625
Br1 Br 0.044 0.320 0.468
Br2 Br 0.320 0.044 0.668
Br3 Br 0.332 0.532 0.680
Br4 Br 0.468 0.668 0.044
Br5 Br 0.532 0.332 0.956
Br6 Br 0.668 0.468 0.320
Br7 Br 0.680 0.956 0.332
Br8 Br 0.956 0.680 0.532

***

# PBE Tb2ThBi, relaxed
# space group: P4/mmm, No. 123
# total magnetization: 0.000 Bohr magnetons per cell
# polymorph energy (0 for the lowest one): 0.045 eV/atom
# formation energy: -317 meV per atom
data_Tb2ThBi
_cell_length_a 5.009
_cell_length_b 5.009
_cell_length_c 4.721
_cell_angle_alpha 90.00
_cell_angle_beta 90.00
_cell_angle_gamma 90.00
_space_group_name_H-M_alt 'P 1'
_space_group_IT_number 1
loop_
_space_group_symop_operation_xyz
'x,y,z'
loop_
_atom_site_label
_atom_site_type_symbol
_atom_site_fract_x
_atom_site_fract_y
_atom_site_fract_z
Tb1 Tb 0.000 0.500 0.000
Tb2 Tb 0.500 0.000 0.000
Th1 Th 0.000 0.000 0.500
Bi1 Bi 0.500 0.500 0.500

***

# PBE La9Al2Cd, relaxed
# space group: P4/mmm, No. 123
# total magnetization: 0.000 Bohr magnetons per cell
# formation energy: -172 meV per atom
data_La9Al2Cd
_cell_length_a 5.009
_cell_length_b 5.009
_cell_length_c 15.010
_cell_angle_alpha 90.00
_cell_angle_beta 90.00
_cell_angle_gamma 90.00
_space_group_name_H-M_alt 'P 1'
_space_group_IT_number 1
loop_
_space_group_symop_operation_xyz
'x,y,z'
loop_
_atom_site_label
_atom_site_type_symbol
_atom_site_fract_x
_atom_site_fract_y
_atom_site_fract_z
La1 La 0.000 0.000 0.000
La2 La 0.000 0.000 0.335
La3 La 0.000 0.000 0.665
La4 La 0.000 0.500 0.172
La5 La 0.000 0.500 0.500
La6 La 0.000 0.500 0.828
La7 La 0.500 0.000 0.172
La8 La 0.500 0.000 0.500
La9 La 0.500 0.000 0.828
Al1 Al 0.500 0.500 0.334
Al2 Al 0.500 0.500 0.666
Cd1 Cd 0.500 0.500 0.000

***

# PBE K3Tl4SnI8, relaxed
# space group: C2/m, No. 12
# uncorrected energy: -42.71 eV per formula unit
# total magnetization: 0.001 Bohr magnetons per cell
data_K3Tl4SnI8
_cell_length_a 9.872
_cell_length_b 9.872
_cell_length_c 10.126
_cell_angle_alpha 119.16
_cell_angle_beta 119.16
_cell_angle_gamma 60.01
_space_group_name_H-M_alt 'P 1'
_space_group_IT_number 1
loop_
_space_group_symop_operation_xyz
'x,y,z'
loop_
_atom_site_label
_atom_site_type_symbol
_atom_site_fract_x
_atom_site_fract_y
_atom_site_fract_z
K1 K 0.000 0.000 0.000
K2 K 0.000 0.500 0.000
K3 K 0.500 0.000 0.000
Tl1 Tl 0.000 0.000 0.500
Tl2 Tl 0.000 0.500 0.500
Tl3 Tl 0.500 0.000 0.500
Tl4 Tl 0.500 0.500 0.500
Sn1 Sn 0.500 0.500 0.000
I1 I 0.250 0.250 0.249
I2 I 0.261 0.261 0.762
I3 I 0.262 0.738 0.238
I4 I 0.262 0.738 0.762
I5 I 0.738 0.262 0.238
I6 I 0.738 0.262 0.762
I7 I 0.739 0.739 0.238
I8 I 0.750 0.750 0.751

***

# PBE Hf2VAgH, relaxed
# space group: P4/mmm, No. 123
# uncorrected energy: -35.27 eV per formula unit
# total magnetization: 1.185 Bohr magnetons per cell
data_Hf2VAgH
_cell_length_a 4.536
_cell_length_b 4.536
_cell_length_c 3.728
_cell_angle_alpha 90.00
_cell_angle_beta 90.00
_cell_angle_gamma 90.00
_space_group_name_H-M_alt 'P 1'
_space_group_IT_number 1
loop_
_space_group_symop_operation_xyz
'x,y,z'
loop_
_atom_site_label
_atom_site_type_symbol
_atom_site_fract_x
_atom_site_fract_y
_atom_site_fract_z
Hf1 Hf 0.000 0.500 0.000
Hf2 Hf 0.500 0.000 0.000
V1 V 0.000 0.000 0.500
Ag1 Ag 0.500 0.500 0.500
H1 H 0.000 0.000 0.000

***

# PBE Si2AuF, relaxed
# space group: I-42d, No. 122
# total magnetization: 0.000 Bohr magnetons per cell
# polymorph energy (0 for the lowest one): 0.054 eV/atom
data_Si2AuF
_cell_length_a 8.074
_cell_length_b 8.074
_cell_length_c 8.074
_cell_angle_alpha 149.58
_cell_angle_beta 149.58
_cell_angle_gamma 43.56
_space_group_name_H-M_alt 'P 1'
_space_group_IT_number 1
loop_
_space_group_symop_operation_xyz
'x,y,z'
loop_
_atom_site_label
_atom_site_type_symbol
_atom_site_fract_x
_atom_site_fract_y
_atom_site_fract_z
Si1 Si 0.039 0.625 0.914
Si2 Si 0.375 0.289 0.414
Si3 Si 0.711 0.125 0.086
Si4 Si 0.875 0.961 0.586
Au1 Au 0.250 0.750 0.500
Au2 Au 0.500 0.500 0.000
F1 F 0.000 0.000 0.000
F2 F 0.750 0.250 0.500

***

# PBE Pa2TeIr, relaxed
# space group: P4/mmm, No. 123
# total magnetization: 0.006 Bohr magnetons per cell
# polymorph energy (0 for the lowest one): 0.173 eV/atom
data_Pa2TeIr
_cell_length_a 3.440
_cell_length_b 3.440
_cell_length_c 7.791
_cell_angle_alpha 90.00
_cell_angle_beta 90.00
_cell_angle_gamma 90.00
_space_group_name_H-M_alt 'P 1'
_space_group_IT_number 1
loop_
_space_group_symop_operation_xyz
'x,y,z'
loop_
_atom_site_label
_atom_site_type_symbol
_atom_site_fract_x
_atom_site_fract_y
_atom_site_fract_z
Pa1 Pa 0.000 0.000 0.226
Pa2 Pa 0.000 0.000 0.774
Te1 Te 0.500 0.500 0.500
Ir1 Ir 0.500 0.500 0.000